(1)
{"formula": "ZnBiPS2", "functional": "PBE", "state": "optimized geometry", "raw_formation_energy_ev_per_atom": 0.903, "sg": "P4/mmm", "energy_ev_per_atom": -2.86, "cell": [[5.196, 0.000, 0.000], [0.000, 5.196, 0.000], [0.000, 0.000, 5.452]], "species": ["Zn", "Bi", "S", "S", "P"], "frac_coords": [[0.500, 0.500, 0.500], [0.000, 0.000, 0.000], [0.500, 0.000, 0.000], [0.000, 0.500, 0.000], [0.000, 0.000, 0.500]]}

---

(2)
{"formula": "CsUCu2S4", "functional": "PBE", "state": "optimized geometry", "raw_formation_energy_ev_per_atom": -0.710, "sg": "I222", "energy_ev_per_atom": -5.32, "cell": [[6.289, 0.000, 0.000], [3.145, 6.280, 0.059], [3.145, 0.574, 6.254]], "species": ["S", "S", "U", "S", "S", "Cu", "Cs", "Cu"], "frac_coords": [[0.430, 0.174, 0.495], [0.570, 0.505, 0.826], [0.500, 0.500, 0.500], [0.901, 0.495, 0.174], [0.099, 0.826, 0.505], [0.134, 0.366, 0.366], [0.000, 0.000, 0.000], [0.866, 0.634, 0.634]]}

---

(3)
{"formula": "Sr4SeN2", "functional": "PBE", "state": "optimized geometry", "raw_formation_energy_ev_per_atom": -0.947, "sg": "Cmcm", "energy_ev_per_atom": -4.78, "cell": [[4.001, 0.000, 0.000], [-2.000, 6.586, 0.000], [0.000, 0.000, 13.052]], "species": ["N", "Sr", "Sr", "Se", "Se", "N", "Sr", "Sr", "N", "N", "Sr", "Sr", "Sr", "Sr"], "frac_coords": [[0.138, 0.277, 0.433], [0.235, 0.469, 0.603], [0.936, 0.873, 0.750], [0.608, 0.216, 0.750], [0.392, 0.784, 0.250], [0.862, 0.723, 0.567], [0.064, 0.127, 0.250], [0.765, 0.531, 0.397], [0.862, 0.723, 0.933], [0.138, 0.277, 0.067], [0.235, 0.469, 0.897], [0.500, 0.000, 0.000], [0.500, 0.000, 0.500], [0.765, 0.531, 0.103]]}

---

(4)
{"formula": "Zn2Ga5Sn", "functional": "PBE", "state": "optimized geometry", "sg": "Immm", "formation_enthalpy_0k_ev_per_atom": 0.0760, "energy_ev_per_atom": -2.63, "cell": [[3.929, 0.000, 1.299], [0.933, 6.014, 3.770], [-0.179, 0.566, 7.134]], "species": ["Ga", "Zn", "Zn", "Ga", "Sn", "Ga", "Ga", "Ga"], "frac_coords": [[0.379, 0.397, 0.845], [0.777, 0.723, 0.723], [0.223, 0.277, 0.277], [0.621, 0.155, 0.603], [0.000, 0.000, 0.000], [0.379, 0.845, 0.397], [0.621, 0.603, 0.155], [0.000, 0.500, 0.500]]}

---

- Which formula does entry 2 have?
  CsUCu2S4